Here is a geometry-optimized TbIn2Rh structure from Alexandria. Energies are from GGA-PBEsol.

Unit cell a=4.2944 b=9.9844 c=7.8433 alpha=90.00 beta=90.00 gamma=90.00
Last column: nearest neighbours and their distance in Å.
Space group Cmcm (No. 63)
Symmetry-distinct sites (fractional):
Tb1 0.0000 0.0685 0.2500 (multiplicity 4)  3 Rh 2.85-3.03
In1 0.0000 0.3568 0.0503 (multiplicity 8)  3 Rh 2.74-2.76, 1 In 2.97
Rh1 0.0000 0.2168 0.7500 (multiplicity 4)  6 In 2.74-2.76, 3 Tb 2.85-3.03

Results
The calculation puts the energy relative to the elements at -0.640 eV per atom.

***

Here is a geometry-optimized InTeRh2 structure from Alexandria. Energies are from GGA-PBEsol.

Unit cell a=3.2153 b=4.9661 c=4.4507 alpha=90.00 beta=90.00 gamma=90.00
Last column: nearest neighbours and their distance in Å.
Space group Pmm2 (No. 25)
Symmetry-distinct sites (fractional):
In1 0.0000 0.0000 0.0000 (multiplicity 1)  6 Rh 2.72-2.77
Te1 0.5000 0.5000 0.2864 (multiplicity 1)  6 Rh 2.63-2.87
Rh1 0.0000 0.5000 0.7527 (multiplicity 1)  4 Te 2.63-2.87, 2 In 2.72
Rh2 0.5000 0.0000 0.5071 (multiplicity 1)  2 Te 2.67, 4 In 2.72-2.77

Results
The calculation puts the energy relative to the elements, uncorrected at -0.16 eV per atom. The calculation puts the excess energy over the best structure of this formula in the dataset at 0.007 eV/atom.

***

Here is a geometry-optimized InTe2Rh2 structure from Alexandria. Energies are from GGA-PBEsol.

Unit cell a=4.0344 b=4.0344 c=13.9143 alpha=90.00 beta=90.00 gamma=90.00
Last column: nearest neighbours and their distance in Å.
Space group I4/mmm (No. 139)
Symmetry-distinct sites (fractional):
In1 0.0000 0.0000 0.0000 (multiplicity 2)  8 Te 3.40
Te1 0.0000 0.0000 0.3669 (multiplicity 4)  4 Rh 2.59
Rh1 0.0000 0.5000 0.2500 (multiplicity 4)  4 Te 2.59, 4 Rh 2.85

Results
The calculation puts the energy relative to the elements, uncorrected at -0.16 eV per atom.

***

Here is a geometry-optimized InTeRh2 structure from Alexandria. Energies are from GGA-PBEsol.

Unit cell a=3.4542 b=3.9355 c=10.6154 alpha=90.00 beta=90.00 gamma=90.00
Last column: nearest neighbours and their distance in Å.
Space group Imm2 (No. 44)
Symmetry-distinct sites (fractional):
In1 0.0000 0.0000 0.0000 (multiplicity 2)  6 Rh 2.71-2.78
Te1 0.0000 0.5000 0.7519 (multiplicity 2)  6 Rh 2.60-2.71
Rh1 0.0000 0.0000 0.4348 (multiplicity 2)  2 Te 2.60, 4 In 2.71
Rh2 0.0000 0.5000 0.1856 (multiplicity 2)  4 Te 2.71, 2 In 2.78

Results
The calculation puts the energy relative to the elements, uncorrected at -0.17 eV per atom. The calculation puts the excess energy over the best structure of this formula in the dataset at 0.000 eV/atom.

***

Here is a geometry-optimized In2TeRh structure from Alexandria. Energies are from GGA-PBEsol.

Unit cell a=3.7369 b=3.7369 c=23.0146 alpha=90.00 beta=90.00 gamma=120.00
Last column: nearest neighbours and their distance in Å.
Space group R3m (No. 160, hexagonal axes)
Symmetry-distinct sites (fractional):
In1 0.0000 0.0000 0.0000 (multiplicity 3)  3 In 3.06, 3 Te 3.24
In2 0.0000 0.0000 0.2393 (multiplicity 3)  3 Rh 2.74, 3 In 3.06
Te1 0.0000 0.0000 0.7718 (multiplicity 3)  3 Rh 2.57
Rh1 0.0000 0.0000 0.4995 (multiplicity 3)  3 Te 2.57, 3 In 2.74

Results
The calculation puts the energy relative to the elements, uncorrected at -0.11 eV per atom.

***

Here is a geometry-optimized InTeRh2 structure from Alexandria. Energies are from GGA-PBEsol.

Unit cell a=3.1927 b=3.1927 c=24.0608 alpha=90.00 beta=90.00 gamma=120.00
Last column: nearest neighbours and their distance in Å.
Space group R-3m (No. 166, hexagonal axes)
Symmetry-distinct sites (fractional):
In1 0.0000 0.0000 0.0000 (multiplicity 3)  6 Rh 2.77
Te1 0.0000 0.0000 0.5000 (multiplicity 3)  6 Rh 2.68
Rh1 0.0000 0.0000 0.2475 (multiplicity 6)  3 Te 2.68, 3 In 2.77

Results
The calculation puts the energy relative to the elements, uncorrected at -0.12 eV per atom. The calculation puts the excess energy over the best structure of this formula in the dataset at 0.051 eV/atom.

***

In order of appearance, energy = -5.418; -5.856; -5.424; -5.863; -4.518; -5.812 eV/atom.